Pa4Ge2AsS | PBE-GGA | relaxed

Cell lengths 7.006, 4.089, 7.067 Å; angles 90.00, 109.71, 90.00 degrees
Space group P2/m (No. 10)
Symmetry-distinct sites (fractional):
Pa 0.241 0.000 0.241 x2
Pa 0.245 0.500 0.755 x2
Ge 0.500 0.000 0.000 x1
Ge 0.500 0.500 0.500 x1
As 0.000 0.000 0.500 x1
S 0.000 0.500 0.000 x1

Properties
- Crystal system: monoclinic
- Density of states at the Fermi level: 9.41 states/eV/f.u.
- Raw formation energy: -0.892 eV per atom

---

V2Ni2C | PBE-GGA | relaxed

Cell lengths 5.050, 5.050, 4.327 Å; angles 90.00, 90.00, 90.00 degrees
Space group P4/mbm (No. 127)
Symmetry-distinct sites (fractional):
V 0.161 0.339 0.000 x4
Ni 0.168 0.668 0.500 x4
C 0.000 0.000 0.500 x2

Properties
- ΔH_f (0 K): 0.28 eV per atom
- Crystal system: tetragonal
- Relative energy among the computed polymorphs: 0.00 eV/f.u.
- Density of states at the Fermi level: 5.84 states/eV/f.u.

---

CaMn2Re | PBE-GGA | relaxed

Cell lengths 3.020, 3.020, 7.578 Å; angles 90.00, 90.00, 90.00 degrees
Space group P4mm (No. 99)
Symmetry-distinct sites (fractional):
Ca 0.000 0.000 0.000 x1
Mn 0.000 0.000 0.532 x1
Mn 0.500 0.500 0.330 x1
Re 0.500 0.500 0.699 x1

Properties
- ΔH_f (0 K): 0.44 eV per atom
- Crystal system: tetragonal
- Relative energy among the computed polymorphs: 0.25 eV/f.u.
- Density of states at the Fermi level: 3.49 states/eV/f.u.

---

ReSnF2 | PBE-GGA | relaxed

Cell lengths 2.8528, 2.8528, 25.7744 Å; angles 90.00, 90.00, 120.00 degrees
Space group R-3m (No. 166, hexagonal axes)
Symmetry-distinct sites (fractional):
Re 0.0000 0.0000 0.0000 x3
Sn 0.0000 0.0000 0.5000 x3
F 0.0000 0.0000 0.4107 x6

Properties
- Crystal system: trigonal
- Relative energy among the computed polymorphs: 2.17 eV/f.u.
- Density of states at the Fermi level: 1.78 states/eV/f.u.
- Raw formation energy: -0.309 eV per atom

---

Zr2SiHg | PBE-GGA | relaxed

Cell lengths 10.947, 3.169, 5.012 Å; angles 90.00, 112.69, 90.00 degrees
Space group Cm (No. 8)
Symmetry-distinct sites (fractional):
Zr 0.000 0.000 0.000 x2
Zr 0.226 0.000 0.647 x2
Si 0.232 0.500 0.127 x2
Hg 0.460 0.000 0.466 x2

Properties
- Crystal system: monoclinic
- Density of states at the Fermi level: 2.96 states/eV/f.u.
- Raw formation energy: -0.221 eV per atom

---

Rb2U3TlSe8 | PBE-GGA | relaxed

Cell lengths 8.4951, 8.4951, 25.0219 Å; angles 90.00, 90.00, 120.00 degrees
Space group R3m (No. 160, hexagonal axes)
Symmetry-distinct sites (fractional):
Rb 0.0000 0.0000 0.0000 x3
Rb 0.0000 0.0000 0.3617 x3
U 0.9999 0.4999 0.4990 x9
Tl 0.0000 0.0000 0.6201 x3
Se 0.0000 0.0000 0.2263 x3
Se 0.0000 0.0000 0.7721 x3
Se 0.0292 0.5146 0.7735 x9
Se 0.1797 0.3595 0.5595 x9

Properties
- Crystal system: trigonal
- Density of states at the Fermi level: 15.86 states/eV/f.u.
- Raw formation energy: -1.097 eV per atom